Model one:
First-principles (GGA-PBE) data for a relaxed HgRh2Cl crystal, as listed in the Alexandria database.

```
HgRh2Cl
1.0
-1.8549 2.3291 0.5725
-1.4614 -0.5277 -2.6036
-4.9644 -4.8818 3.7762
Cl Hg Rh
1 1 2
direct
0.0000 0.0000 0.4478
0.5000 0.5000 0.7888
0.0000 0.0000 0.0297
0.5000 0.5000 0.2337
```

Calculated values
The volume comes out at 72.8 Å³/cell. As for the total magnetization: 2.044 μB per cell. The symmetry is P4mm, No. 99.

=====

Model two:
First-principles (GGA-PBE) data for a relaxed HgRh2Cl crystal, as listed in the Alexandria database.

```
HgRh2Cl
1.0
-0.5929 -2.9371 3.5080
-3.6417 0.4515 2.7962
-3.4136 -3.1004 -0.1391
Rh Hg Cl
2 1 1
direct
0.2500 0.2500 0.2500
0.7500 0.7500 0.7500
0.5000 0.5000 0.5000
0.0000 0.0000 0.0000
```

Calculated values
The volume comes out at 69.4 Å³/cell. As for the total magnetization: 2.209 μB per cell. The symmetry is Fm-3m, No. 225.

=====

Model three:
First-principles (GGA-PBE) data for a relaxed HgRh2Cl crystal, as listed in the Alexandria database.

```
HgRh2Cl
1.0
2.9449 0.0000 0.0000
0.0000 5.2161 0.0000
0.0000 0.0000 4.5225
Cl Hg Rh
1 1 2
direct
0.5000 0.0000 0.5000
0.0000 0.5000 0.5000
0.0000 0.0000 0.0000
0.5000 0.5000 0.0000
```

Calculated values
The volume comes out at 69.5 Å³/cell. As for the total magnetization: 0.000 μB per cell. The symmetry is Pmmm, No. 47.

=====

Model four:
First-principles (GGA-PBE) data for a relaxed HgRh2Cl crystal, as listed in the Alexandria database.

```
HgRh2Cl
1.0
-1.9065 2.2814 2.4946
-2.6677 -1.5431 -0.6276
1.1299 -3.6839 4.2326
Cl Hg Rh
1 1 2
direct
0.5000 0.2500 0.2500
0.5000 0.7500 0.7500
0.0000 0.2494 0.9983
0.0000 0.2506 0.5017
```

Calculated values
The volume comes out at 69.9 Å³/cell. As for the total magnetization: 0.000 μB per cell. The symmetry is Pmmm, No. 47.

=====

Energy above the most stable structure, in meV/atom: model one 0; model two 411; model three 243; model four 124

=====

Model one:
First-principles (GGA-PBE) data for a relaxed HgRh2Cl crystal, as listed in the Alexandria database.

```
HgRh2Cl
1.0
-4.5347 0.4247 -1.0496
1.0355 -0.1968 -4.5535
-2.5033 -7.5392 -2.6421
Rh Hg Cl
4 2 2
direct
0.4991 0.1250 0.2500
0.2509 0.6250 0.2500
0.3750 0.5009 0.7500
0.8750 0.7491 0.7500
0.0000 0.0000 0.0000
0.7500 0.2500 0.5000
0.5000 0.5000 0.0000
0.2500 0.7500 0.5000
```

Calculated values
The volume comes out at 168.0 Å³/cell. As for the total magnetization: 0.000 μB per cell. The symmetry is I-42d, No. 122.

=====

Model two:
First-principles (GGA-PBE) data for a relaxed HgRh2Cl crystal, as listed in the Alexandria database.

```
HgRh2Cl
1.0
-4.0378 -1.6628 -1.5802
-0.8693 -4.5577 0.1935
-3.1632 -1.6360 2.9805
Cl Hg Rh
1 1 2
direct
0.5000 0.5000 0.5000
0.7500 0.7500 0.7500
0.0000 0.0000 0.0000
0.2500 0.2500 0.2500
```

Calculated values
The volume comes out at 70.8 Å³/cell. As for the total magnetization: 2.320 μB per cell. The symmetry is F-43m, No. 216.

=====

Model three:
First-principles (GGA-PBE) data for a relaxed HgRh2Cl crystal, as listed in the Alexandria database.

```
HgRh2Cl
1.0
8.9573 0.0174 0.0102
8.4199 3.0562 0.0102
8.4199 1.4892 2.6688
Cl Hg Rh
1 1 2
direct
0.5169 0.5169 0.5169
0.7424 0.7424 0.7424
0.9901 0.9901 0.9901
0.2506 0.2506 0.2506
```

Calculated values
The volume comes out at 72.4 Å³/cell. As for the total magnetization: 0.730 μB per cell. The symmetry is R3m, No. 160.

=====

Model four:
First-principles (GGA-PBE) data for a relaxed HgRh2Cl crystal, as listed in the Alexandria database.

```
HgRh2Cl
1.0
8.4625 0.0009 0.0005
7.9152 2.9941 0.0005
7.9152 1.4474 2.6209
Cl Hg Rh
1 1 2
direct
0.2500 0.2500 0.2500
0.7500 0.7500 0.7500
0.9935 0.9935 0.9935
0.5065 0.5065 0.5065
```

Calculated values
The volume comes out at 66.4 Å³/cell. As for the total magnetization: 0.000 μB per cell. The symmetry is R-3m, No. 166.

=====

Energy above the most stable structure, in meV/atom: model one 219; model two 377; model three 0; model four 88

=====

Model one:
First-principles (GGA-PBE) data for a relaxed Hg3RhCl crystal, as listed in the Alexandria database.

```
Hg3RhCl
1.0
5.2469 0.0000 0.0000
0.0000 5.2469 0.0000
0.0000 0.0000 5.2469
Rh Hg Cl
1 3 1
direct
0.0000 0.0000 0.0000
0.0000 0.5000 0.0000
0.0000 0.0000 0.5000
0.5000 0.0000 0.0000
0.5000 0.5000 0.5000
```

Calculated values
The volume comes out at 144.5 Å³/cell. As for the total magnetization: 0.000 μB per cell. The symmetry is Pm-3m, No. 221.

=====

Model two:
First-principles (GGA-PBE) data for a relaxed Hg3RhCl crystal, as listed in the Alexandria database.

```
Hg3RhCl
1.0
5.5199 0.0000 0.0000
0.0000 5.5199 0.0000
0.0000 0.0000 5.5199
Rh Hg Cl
1 3 1
direct
0.5000 0.5000 0.5000
0.0000 0.5000 0.0000
0.0000 0.0000 0.5000
0.5000 0.0000 0.0000
0.0000 0.0000 0.0000
```

Calculated values
The volume comes out at 168.2 Å³/cell. As for the total magnetization: 1.732 μB per cell. The symmetry is Pm-3m, No. 221.

=====

Energy above the most stable structure, in meV/atom: model one 0; model two 923

=====

Model one:
First-principles (GGA-PBE) data for a relaxed HgRh3Cl crystal, as listed in the Alexandria database.

```
HgRh3Cl
1.0
-2.2864 1.0812 3.6491
2.6079 -2.6554 2.4208
2.7720 3.3900 0.7324
Rh Hg Cl
3 1 1
direct
0.0000 0.5000 0.0000
0.0000 0.0000 0.5000
0.5000 0.0000 0.0000
0.5000 0.5000 0.5000
0.0000 0.0000 0.0000
```

Calculated values
The volume comes out at 87.5 Å³/cell. As for the total magnetization: 0.000 μB per cell. The symmetry is Pm-3m, No. 221.

=====

Model two:
First-principles (GGA-PBE) data for a relaxed HgRh3Cl crystal, as listed in the Alexandria database.

```
HgRh3Cl
1.0
5.0948 0.0000 0.0000
0.0000 5.0948 0.0000
0.0000 0.0000 5.0948
Rh Hg Cl
3 1 1
direct
0.0000 0.5000 0.0000
0.0000 0.0000 0.5000
0.5000 0.0000 0.0000
0.0000 0.0000 0.0000
0.5000 0.5000 0.5000
```

Calculated values
The volume comes out at 132.2 Å³/cell. As for the total magnetization: 4.030 μB per cell. The symmetry is Pm-3m, No. 221.

=====

Energy above the most stable structure, in meV/atom: model one 0; model two 1037

=====

Model one:
First-principles (GGA-PBE) data for a relaxed HgRuCl2 crystal, as listed in the Alexandria database.

```
HgRuCl2
1.0
7.1027 0.0923 -0.0011
4.5878 5.4230 0.0011
-5.2558 -4.0072 2.6032
Ru Hg Cl
1 1 2
direct
0.2500 0.7500 0.5000
0.7500 0.2500 0.5000
0.1050 0.1050 0.0000
0.3950 0.3950 0.0000
```

Calculated values
The volume comes out at 99.2 Å³/cell. As for the total magnetization: 0.000 μB per cell. The symmetry is Immm, No. 71.

=====

Model two:
First-principles (GGA-PBE) data for a relaxed HgRuCl2 crystal, as listed in the Alexandria database.

```
HgRuCl2
1.0
5.5781 0.0008 0.0362
4.6590 3.0675 0.0362
2.6785 0.8028 6.1502
Ru Hg Cl
1 1 2
direct
0.3044 0.3044 0.3750
0.5646 0.5646 0.3748
0.8920 0.8920 0.0884
0.7391 0.7391 0.6618
```

Calculated values
The volume comes out at 104.9 Å³/cell. As for the total magnetization: 0.817 μB per cell. The symmetry is Cm, No. 8.

=====

Model three:
First-principles (GGA-PBE) data for a relaxed HgRuCl2 crystal, as listed in the Alexandria database.

```
HgRuCl2
1.0
0.0000 3.4579 3.4579
3.4579 0.0000 3.4579
3.4579 3.4579 0.0000
Ru Hg Cl
1 1 2
direct
0.0000 0.0000 0.0000
0.5000 0.5000 0.5000
0.2500 0.2500 0.2500
0.7500 0.7500 0.7500
```

Calculated values
The volume comes out at 82.7 Å³/cell. As for the total magnetization: 2.659 μB per cell. The symmetry is Fm-3m, No. 225.

=====

Energy above the most stable structure, in meV/atom: model one 34; model two 0; model three 671

=====

Model one:
First-principles (GGA-PBE) data for a relaxed HgRuCl3 crystal, as listed in the Alexandria database.

```
HgRuCl3
1.0
5.2518 0.0000 0.0000
0.0000 5.2518 0.0000
0.0000 0.0000 5.2518
Ru Hg Cl
1 1 3
direct
0.5000 0.5000 0.5000
0.0000 0.0000 0.0000
0.0000 0.5000 0.0000
0.0000 0.0000 0.5000
0.5000 0.0000 0.0000
```

Calculated values
The volume comes out at 144.9 Å³/cell. As for the total magnetization: 3.064 μB per cell. The symmetry is Pm-3m, No. 221.

=====

Model two:
First-principles (GGA-PBE) data for a relaxed HgRuCl3 crystal, as listed in the Alexandria database.

```
HgRuCl3
1.0
-4.9435 -1.8200 -4.0598
-2.2228 -5.2697 5.0690
-6.8334 8.2174 5.5462
Hg Ru Cl
4 4 12
direct
0.0718 0.0003 0.3760
0.9282 0.0003 0.1240
0.0718 0.9997 0.8760
0.9282 0.9997 0.6240
0.0510 0.3427 0.1056
0.0510 0.6573 0.6056
0.9490 0.3427 0.3944
0.9490 0.6573 0.8944
0.6807 0.2315 0.4915
0.6807 0.7685 0.9915
0.2286 0.6273 0.7810
0.1374 0.6396 0.0663
0.2286 0.3727 0.2810
0.3193 0.7685 0.5085
0.8626 0.6396 0.4337
0.7714 0.6273 0.7190
0.8626 0.3604 0.9337
0.7714 0.3727 0.2190
0.3193 0.2315 0.0085
0.1374 0.3604 0.5663
```

Calculated values
The volume comes out at 611.4 Å³/cell. As for the total magnetization: 4.095 μB per cell. The symmetry is P2/c, No. 13.

=====

Energy above the most stable structure, in meV/atom: model one 889; model two 0

=====

Model one:
First-principles (GGA-PBE) data for a relaxed HgRuCl crystal, as listed in the Alexandria database.

```
HgRuCl
1.0
-0.8917 -0.7235 -3.0683
1.3744 -2.2954 1.8908
-5.8620 -1.7641 2.1194
Cl Hg Ru
1 1 1
direct
0.0000 0.0000 0.9381
0.6667 0.3333 0.3686
0.3333 0.6667 0.6933
```

Calculated values
The volume comes out at 60.2 Å³/cell. As for the total magnetization: 1.755 μB per cell. The symmetry is P3m1, No. 156.

=====

Model two:
First-principles (GGA-PBE) data for a relaxed HgRuCl crystal, as listed in the Alexandria database.

```
HgRuCl
1.0
-3.6797 6.5397 -2.5032
-5.5456 4.0958 -3.1195
-0.4219 1.8705 2.4813
Cl Hg Ru
1 1 1
direct
0.9658 0.9658 0.0342
0.6869 0.6869 0.3131
0.3472 0.3472 0.6528
```

Calculated values
The volume comes out at 61.4 Å³/cell. As for the total magnetization: 0.000 μB per cell. The symmetry is Fmm2, No. 42.

=====

Energy above the most stable structure, in meV/atom: model one 0; model two 34

=====

Model one:
First-principles (GGA-PBE) data for a relaxed HgRuCl crystal, as listed in the Alexandria database.

```
HgRuCl
1.0
-0.5342 3.9397 -2.2003
-4.1545 1.3715 -1.2277
-1.9403 3.5310 2.1013
Cl Hg Ru
1 1 1
direct
0.0000 0.0000 0.0000
0.5000 0.5000 0.5000
0.2500 0.2500 0.2500
```

Calculated values
The volume comes out at 66.3 Å³/cell. As for the total magnetization: 2.002 μB per cell. The symmetry is F-43m, No. 216.

=====

Model two:
First-principles (GGA-PBE) data for a relaxed HgRuCl crystal, as listed in the Alexandria database.

```
HgRuCl
1.0
4.3459 0.0000 0.0000
-2.1730 3.7637 0.0000
0.0000 0.0000 3.4341
Cl Hg Ru
1 1 1
direct
0.0000 0.0000 0.8333
0.6667 0.3333 0.3330
0.3333 0.6667 0.8336
```

Calculated values
The volume comes out at 56.2 Å³/cell. As for the total magnetization: 0.283 μB per cell. The symmetry is P-6m2, No. 187.

=====

Model three:
First-principles (GGA-PBE) data for a relaxed HgRuCl crystal, as listed in the Alexandria database.

```
HgRuCl
1.0
6.7435 -0.0071 0.0000
5.2917 4.1800 0.0000
-6.0176 -2.0865 2.2158
Cl Hg Ru
1 1 1
direct
0.0371 0.0371 0.0000
0.3049 0.3049 0.0000
0.6580 0.6580 0.0000
```

Calculated values
The volume comes out at 62.5 Å³/cell. As for the total magnetization: 2.530 μB per cell. The symmetry is I4mm, No. 107.

=====

Energy above the most stable structure, in meV/atom: model one 277; model two 212; model three 0

=====

Model one:
First-principles (GGA-PBE) data for a relaxed HgSCl3 crystal, as listed in the Alexandria database.

```
HgSCl3
1.0
-1.6056 1.8002 -3.4815
7.1627 -3.7479 -2.7852
-2.4567 -10.0653 -1.4956
Hg S Cl
2 2 6
direct
0.2313 0.7612 0.4881
0.7687 0.2388 0.5119
0.5147 0.6181 0.9570
0.4853 0.3819 0.0430
0.8754 0.7857 0.0644
0.1246 0.2143 0.9356
0.5897 0.9403 0.3459
0.4103 0.0597 0.6541
0.8738 0.5849 0.6317
0.1262 0.4151 0.3683
```

Calculated values
The volume comes out at 350.7 Å³/cell. As for the total magnetization: 2.006 μB per cell. The symmetry is P-1, No. 2.

=====

Model two:
First-principles (GGA-PBE) data for a relaxed HgSCl3 crystal, as listed in the Alexandria database.

```
HgSCl3
1.0
-1.4549 4.6724 -0.5222
-2.5992 -0.3439 4.1650
3.9177 1.5071 2.5693
S Hg Cl
1 1 3
direct
0.0000 0.0000 0.0000
0.5000 0.5000 0.5000
0.0000 0.5000 0.0000
0.0000 0.0000 0.5000
0.5000 0.0000 0.0000
```

Calculated values
The volume comes out at 119.2 Å³/cell. As for the total magnetization: 0.000 μB per cell. The symmetry is Pm-3m, No. 221.

=====

Energy above the most stable structure, in meV/atom: model one 0; model two 363

=====

Model one:
First-principles (GGA-PBE) data for a relaxed HgS3Cl crystal, as listed in the Alexandria database.

```
HgS3Cl
1.0
-2.2049 3.1948 3.3200
-4.3768 -0.3022 -2.6159
-1.4397 -3.9740 2.8680
S Hg Cl
3 1 1
direct
0.0000 0.5000 0.0000
0.0000 0.0000 0.5000
0.5000 0.0000 0.0000
0.0000 0.0000 0.0000
0.5000 0.5000 0.5000
```

Calculated values
The volume comes out at 133.3 Å³/cell. As for the total magnetization: 4.115 μB per cell. The symmetry is Pm-3m, No. 221.

=====

Model two:
First-principles (GGA-PBE) data for a relaxed HgS3Cl crystal, as listed in the Alexandria database.

```
HgS3Cl
1.0
5.9104 0.0195 0.0086
0.0226 7.9998 -2.9404
0.0017 -2.5553 7.3786
Hg S Cl
2 6 2
direct
0.7815 0.7461 0.4027
0.2821 0.6068 0.6957
0.8230 0.4288 0.8406
0.5492 0.8269 0.0166
0.9945 0.3330 0.5669
0.3206 0.9239 0.2585
0.0510 0.5241 0.0811
0.4923 0.0212 0.5319
0.4758 0.4674 0.3269
0.9738 0.8856 0.7714
```

Calculated values
The volume comes out at 304.5 Å³/cell. As for the total magnetization: 0.000 μB per cell. The symmetry is P1, No. 1.

=====

Energy above the most stable structure, in meV/atom: model one 1156; model two 0

=====

Model one:
First-principles (GGA-PBE) data for a relaxed HgSbS2Cl crystal, as listed in the Alexandria database.

```
HgSbS2Cl
1.0
5.0821 0.0000 0.0000
0.0000 5.0821 0.0000
0.0000 0.0000 5.2330
Sb S Hg Cl
1 2 1 1
direct
0.0000 0.0000 0.0000
0.0000 0.5000 0.0000
0.5000 0.0000 0.0000
0.5000 0.5000 0.5000
0.0000 0.0000 0.5000
```

Calculated values
The volume comes out at 135.2 Å³/cell. As for the total magnetization: 0.062 μB per cell. The symmetry is P4/mmm, No. 123.

=====

Model two:
First-principles (GGA-PBE) data for a relaxed HgSbS2Cl crystal, as listed in the Alexandria database.

```
HgSbS2Cl
1.0
-2.1639 3.4386 -3.7660
-7.8878 -3.3918 1.4353
-2.1783 4.7923 5.6274
Hg Sb S Cl
2 2 4 2
direct
0.2500 0.2853 0.2082
0.7500 0.7147 0.7918
0.2500 0.1391 0.7319
0.7500 0.8609 0.2681
0.7500 0.6495 0.5034
0.2500 0.3505 0.4966
0.7500 0.6451 0.1002
0.2500 0.3549 0.8998
0.2500 0.9289 0.2536
0.7500 0.0711 0.7464
```

Calculated values
The volume comes out at 368.3 Å³/cell. As for the total magnetization: 0.000 μB per cell. The symmetry is P2_1/m, No. 11.

=====

Energy above the most stable structure, in meV/atom: model one 402; model two 0